1.
The following is a DFT calculation (GGA-PBE) of crystalline Li3Mg3In2 at its relaxed geometry.

Magnetic moment in μB/f.u.: 0.000
E_tot in eV per atom: -2.1754
DOS at the Fermi energy in states/eV/f.u.: 1.98
Energy of formation from the pure elements in eV per formula unit: -1.40

Structure (POSCAR):
```
Li3Mg3In2
1.0
-1.802 -0.490 3.992
-2.228 -3.560 -1.443
6.371 -4.909 2.274
In Li Mg
2 3 3
Cartesian
1.653 -1.274 0.590 In
4.718 -3.635 1.684 In
2.072 -4.235 0.416 Li
2.284 -2.699 3.133 Li
-1.114 -1.780 -0.721 Li
-0.901 -0.245 1.996 Mg
-0.357 -3.302 1.867 Mg
2.698 -5.656 2.957 Mg
```

---

2.
The following is a DFT calculation (GGA-PBE) of crystalline LiMgIn2 at its relaxed geometry.

Magnetic moment in μB/f.u.: 0.000
E_tot in eV per atom: -2.4071
DOS at the Fermi energy in states/eV/f.u.: 1.49
Energy of formation from the pure elements in eV per formula unit: -0.64

Structure (POSCAR):
```
LiMgIn2
1.0
-2.399 3.610 -3.423
-2.338 -2.584 -4.285
-0.301 -0.762 5.462
Mg Li In
1 1 2
Cartesian
-2.504 -1.416 -1.339 Mg
-2.370 0.513 -3.855 Li
-4.737 1.026 -7.707 In
-2.534 1.680 -0.906 In
```

---

3.
The following is a DFT calculation (GGA-PBE) of crystalline Li7Mg2In3 at its relaxed geometry.

Magnetic moment in μB/f.u.: 0.000
E_tot in eV per atom: -2.1956
DOS at the Fermi energy in states/eV/f.u.: 3.32
Energy of formation from the pure elements in eV per formula unit: -1.55

Structure (POSCAR):
```
Li7Mg2In3
1.0
-1.325 2.422 1.658
-4.339 -1.289 -1.584
0.423 -8.848 13.260
Mg Li In
2 7 3
Cartesian
-1.940 -5.526 9.648 Mg
-3.301 -2.189 3.686 Mg
-3.649 -3.866 5.857 Li
-2.372 -1.952 0.955 Li
-4.305 -7.241 10.262 Li
-1.544 -8.185 10.721 Li
-0.936 -0.475 3.072 Li
0.000 0.000 0.000 Li
-1.592 -3.850 7.477 Li
-2.832 0.566 0.037 In
-3.312 -6.660 7.081 In
-0.604 -3.477 4.595 In
```

---

4.
The following is a DFT calculation (GGA-PBE) of crystalline LiMg2In8 at its relaxed geometry.

Magnetic moment in μB/f.u.: 0.000
E_tot in eV per atom: -2.4986
DOS at the Fermi energy in states/eV/f.u.: 4.02
Offset from the most stable computed form in meV/atom: 15
Energy of formation from the pure elements in eV per formula unit: -0.47

Structure (POSCAR):
```
LiMg2In8
1.0
-2.616 -3.879 0.117
5.401 -3.616 0.883
-3.319 5.310 8.209
In Li Mg
8 1 2
Cartesian
-4.478 0.448 8.333 In
3.943 -2.633 0.876 In
-0.336 -2.427 5.601 In
-0.198 0.243 3.609 In
2.604 -4.488 3.060 In
-0.620 0.627 6.888 In
-3.139 2.303 6.149 In
0.086 -2.811 2.321 In
-1.308 -1.939 0.059 Li
2.453 -1.534 3.988 Mg
-2.988 -0.650 5.221 Mg
```